1.
Density functional theory data (GGA-PBE) for Pr2Al6Au3 after structural relaxation.

Unit cell a=7.9488 b=7.9488 c=4.2144 alpha=90.00 beta=90.00 gamma=120.00
Last column: nearest neighbours and their distance in Å.
Space group P-62m (No. 189)
Inequivalent atoms, fractional coordinates:
Pr (0.3333, 0.6667, 0.0000) x2  6 Au 3.29, 9 Al 3.37-3.48
Al (0.0000, 0.1899, 0.0000) x3  2 Au 2.54, 2 Al 2.62
Al (0.0000, 0.6955, 0.5000) x3  3 Au 2.60-2.71
Au (0.0000, 0.3687, 0.5000) x3  5 Al 2.54-2.71

Properties
The crystal system is hexagonal. The calculation puts the calculated formation energy at -58 kJ/mol of atoms. As for the total DFT energy (no corrections): -4.4081 eV/atom.

=====

2.
Density functional theory data (GGA-PBE) for PrAlAu after structural relaxation.

Unit cell a=6.8080 b=6.8080 c=6.8080 alpha=90.00 beta=90.00 gamma=90.00
Last column: nearest neighbours and their distance in Å.
Space group F-43m (No. 216)
Inequivalent atoms, fractional coordinates:
Pr (0.0000, 0.0000, 0.0000) x4  4 Au 2.95
Al (0.0000, 0.0000, 0.5000) x4  4 Au 2.95
Au (0.2500, 0.2500, 0.2500) x4  4 Pr 2.95, 4 Al 2.95

Properties
The crystal system is cubic. The calculation puts the calculated formation energy at -49 kJ/mol of atoms. As for the total DFT energy (no corrections): -4.4414 eV/atom.

=====

3.
Density functional theory data (GGA-PBE) for Pr6Al2Au after structural relaxation.

Unit cell a=5.8861 b=9.1140 c=11.5330 alpha=90.00 beta=117.80 gamma=90.00
Last column: nearest neighbours and their distance in Å.
Space group P2_1/c (No. 14)
Inequivalent atoms, fractional coordinates:
Pr (0.0037, 0.1737, 0.0720) x4  1 Au 3.09, 3 Al 3.28-3.38
Pr (0.3604, 0.5144, 0.2935) x4  1 Au 3.05, 3 Al 3.23-3.36
Pr (0.3819, 0.1623, 0.4342) x4  1 Au 3.07, 1 Pr 3.32, 2 Al 3.37-3.39
Al (0.1879, 0.6427, 0.7451) x4  9 Pr 3.23-3.50
Au (0.0000, 0.0000, 0.5000) x2  6 Pr 3.05-3.09

Properties
The crystal system is monoclinic. The calculation puts the calculated formation energy at -22 kJ/mol of atoms. As for the total DFT energy (no corrections): -4.6091 eV/atom.

=====

4.
Density functional theory data (GGA-PBE) for PrAl4Au4 after structural relaxation.

Unit cell a=6.3100 b=6.3100 c=8.8503 alpha=90.00 beta=90.00 gamma=90.00
Last column: nearest neighbours and their distance in Å.
Space group P4_2/nmc (No. 137, origin choice 2)
Inequivalent atoms, fractional coordinates:
Pr (0.2500, 0.7500, 0.2500) x2  4 Au 3.25, 8 Al 3.58
Al (0.0252, 0.2500, 0.1473) x8  5 Au 2.58-2.71, 1 Al 2.84
Au (0.0273, 0.2500, 0.4401) x8  5 Al 2.58-2.71, 1 Au 2.81

Properties
The crystal system is tetragonal. The calculation puts the calculated formation energy at -53 kJ/mol of atoms. As for the total DFT energy (no corrections): -4.2029 eV/atom.

=====

5.
Density functional theory data (GGA-PBE) for PrAl2Au6 after structural relaxation.

Unit cell a=11.5967 b=7.4497 c=4.5493 alpha=90.00 beta=102.26 gamma=90.00
Last column: nearest neighbours and their distance in Å.
Space group C2/m (No. 12)
Inequivalent atoms, fractional coordinates:
Pr (0.0000, 0.0000, 0.0000) x2  8 Au 3.15-3.17
Al (0.1923, 0.5000, 0.7136) x4  8 Au 2.67-2.71
Au (0.0000, 0.2967, 0.5000) x4  2 Al 2.70, 2 Au 2.77
Au (0.1859, 0.3075, 0.2055) x8  3 Al 2.67-2.71, 4 Au 2.76-2.90

Properties
The crystal system is monoclinic. The calculation puts the calculated formation energy at -37 kJ/mol of atoms. As for the total DFT energy (no corrections): -3.9334 eV/atom. As for the energy above the lowest structure with this stoichiometry: 0 meV/atom.

=====

6.
Density functional theory data (GGA-PBE) for PrAl4Au3 after structural relaxation.

Unit cell a=4.2726 b=4.2726 c=8.7804 alpha=90.00 beta=90.00 gamma=90.00
Last column: nearest neighbours and their distance in Å.
Space group P4/mmm (No. 123)
Inequivalent atoms, fractional coordinates:
Pr (0.0000, 0.0000, 0.0000) x1  8 Au 3.33, 8 Al 3.57
Al (0.0000, 0.5000, 0.3260) x4  4 Au 2.60-2.63
Au (0.0000, 0.0000, 0.5000) x1  8 Al 2.63
Au (0.5000, 0.5000, 0.1582) x2  4 Al 2.60, 1 Au 2.78

Properties
The crystal system is tetragonal. The calculation puts the calculated formation energy at -60 kJ/mol of atoms. As for the total DFT energy (no corrections): -4.3209 eV/atom.

=====

7.
Density functional theory data (GGA-PBE) for PrAlAu after structural relaxation.

Unit cell a=4.4294 b=4.4294 c=7.0984 alpha=90.00 beta=90.00 gamma=90.00
Last column: nearest neighbours and their distance in Å.
Space group P4/nmm (No. 129, origin choice 2)
Inequivalent atoms, fractional coordinates:
Pr (0.2500, 0.2500, 0.1566) x2  5 Au 3.17-3.27, 4 Al 3.29
Al (0.2500, 0.7500, 0.5000) x2  4 Au 2.67
Au (0.2500, 0.2500, 0.7094) x2  4 Al 2.67

Properties
The crystal system is tetragonal. The calculation puts the calculated formation energy at -66 kJ/mol of atoms. As for the total DFT energy (no corrections): -4.6147 eV/atom.

=====

8.
Density functional theory data (GGA-PBE) for Pr2Al6Au9 after structural relaxation.

Unit cell a=5.8570 b=5.8570 c=12.1730 alpha=90.00 beta=90.00 gamma=120.00
Last column: nearest neighbours and their distance in Å.
Space group P6/mmm (No. 191)
Inequivalent atoms, fractional coordinates:
Pr (0.0000, 0.0000, 0.1768) x2  6 Al 3.38, 12 Au 3.49-3.63
Al (0.3333, 0.6667, 0.1656) x4  6 Au 2.63-2.64
Al (0.3333, 0.6667, 0.5000) x2  6 Au 2.65
Au (0.0000, 0.5000, 0.0000) x3  4 Al 2.63, 4 Au 2.93
Au (0.0000, 0.5000, 0.3324) x6  4 Al 2.64-2.65, 4 Au 2.93

Properties
The crystal system is hexagonal. The calculation puts the calculated formation energy at -43 kJ/mol of atoms. As for the total DFT energy (no corrections): -4.0675 eV/atom.

=====

9.
Density functional theory data (GGA-PBE) for PrAl4Pt2Au after structural relaxation.

Unit cell a=4.2944 b=4.2944 c=27.9236 alpha=90.00 beta=90.00 gamma=120.00
Last column: nearest neighbours and their distance in Å.
Space group R-3m (No. 166, hexagonal axes)
Inequivalent atoms, fractional coordinates:
Pr (0.0000, 0.0000, 0.0000) x3  8 Al 3.17-3.52, 6 Pt 3.47
Al (0.0000, 0.0000, 0.1260) x6  3 Pt 2.71, 3 Au 2.73, 3 Al 2.92
Al (0.0000, 0.0000, 0.4040) x6  3 Pt 2.52, 1 Au 2.68
Pt (0.0000, 0.0000, 0.2462) x6  6 Al 2.52-2.71
Au (0.0000, 0.0000, 0.5000) x3  8 Al 2.68-2.73

Properties
The crystal system is trigonal. The calculation puts the calculated formation energy at -74 kJ/mol of atoms. As for the total DFT energy (no corrections): -5.1515 eV/atom.

=====

10.
Density functional theory data (GGA-PBE) for Pr2Al3Pt12Au after structural relaxation.

Unit cell a=8.2859 b=8.2859 c=18.6715 alpha=90.00 beta=90.00 gamma=120.00
Last column: nearest neighbours and their distance in Å.
Space group R-3m (No. 166, hexagonal axes)
Inequivalent atoms, fractional coordinates:
Pr (0.0000, 0.0000, 0.1115) x6  6 Pt 2.84-2.85
Al (0.0000, 0.5000, 0.0000) x9  6 Pt 2.42-2.45
Pt (0.0189, 0.5095, 0.8706) x18  1 Al 2.42, 1 Au 2.62
Pt (0.0195, 0.5098, 0.3749) x18  2 Al 2.45
Au (0.0000, 0.0000, 0.5000) x3  6 Pt 2.62

Properties
The crystal system is trigonal. The calculation puts the calculated formation energy at -38 kJ/mol of atoms. As for the total DFT energy (no corrections): -5.7532 eV/atom.

=====

11.
Density functional theory data (GGA-PBE) for PrAl2PtAu2 after structural relaxation.

Unit cell a=4.7427 b=4.7427 c=5.8348 alpha=90.00 beta=90.00 gamma=90.00
Last column: nearest neighbours and their distance in Å.
Space group P4/mmm (No. 123)
Inequivalent atoms, fractional coordinates:
Pr (0.0000, 0.0000, 0.0000) x1  2 Pt 2.92
Al (0.0000, 0.5000, 0.5000) x2  2 Pt 2.37
Pt (0.0000, 0.0000, 0.5000) x1  4 Al 2.37
Au (0.5000, 0.5000, 0.2349) x2  1 Au 2.74, 4 Al 2.83

Properties
The crystal system is tetragonal. The calculation puts the calculated formation energy at -57 kJ/mol of atoms. As for the total DFT energy (no corrections): -4.7314 eV/atom.

=====

12.
Density functional theory data (GGA-PBE) for Pr2Al4PtAu3 after structural relaxation.

Unit cell a=4.4218 b=4.4218 c=10.4386 alpha=90.00 beta=90.00 gamma=90.00
Last column: nearest neighbours and their distance in Å.
Space group P-4m2 (No. 115)
Inequivalent atoms, fractional coordinates:
Pr (0.0000, 0.5000, 0.2471) x2  6 Au 3.37-3.40, 8 Al 3.38-3.44, 2 Pt 3.40
Al (0.0000, 0.0000, 0.5000) x1  4 Au 2.61
Al (0.0000, 0.5000, 0.8759) x2  3 Au 2.53-2.56, 2 Pt 2.56
Al (0.5000, 0.5000, 0.5000) x1  4 Au 2.61
Pt (0.5000, 0.5000, 0.0000) x1  4 Al 2.56
Au (0.0000, 0.0000, 0.0000) x1  4 Al 2.56
Au (0.0000, 0.5000, 0.6332) x2  5 Al 2.53-2.61

Properties
The crystal system is tetragonal. The calculation puts the calculated formation energy at -79 kJ/mol of atoms. As for the total DFT energy (no corrections): -4.8628 eV/atom.